No. 1
First-principles (PBE-GGA) data for an optimized crystal structure of PrScAlIn, as listed in Alexandria.

Computed properties:
formation enthalpy at 0 K: -0.3678 eV/atom
DOS at the Fermi energy: 0.39 states/eV/atom

Cell: 5.189 5.189 5.189 Å, 60.00 60.00 60.00°
Element x y z (fractional)
Al: 0.000 0.000 0.000
In: 0.500 0.500 0.500
Pr: 0.750 0.750 0.750
Sc: 0.250 0.250 0.250

=====

No. 2
First-principles (PBE-GGA) data for an optimized crystal structure of Er4CuRu3, as listed in Alexandria.

Computed properties:
formation enthalpy at 0 K: -0.4166 eV/atom
DOS at the Fermi energy: 0.62 states/eV/atom

Cell: 4.791 6.767 9.582 Å, 90.00 90.00 90.00°
Element x y z (fractional)
Er: 0.500 0.755 0.000
Er: 0.000 0.245 0.250
Ru: 0.500 0.500 0.750
Ru: 0.000 0.000 0.500
Er: 0.500 0.245 0.000
Ru: 0.000 0.000 0.000
Cu: 0.000 0.500 0.500
Ru: 0.500 0.000 0.250
Ru: 0.500 0.500 0.250
Ru: 0.500 0.000 0.750
Er: 0.500 0.245 0.500
Er: 0.500 0.755 0.500
Er: 0.000 0.755 0.750
Er: 0.000 0.245 0.750
Cu: 0.000 0.500 0.000
Er: 0.000 0.755 0.250

=====

No. 3
First-principles (PBE-GGA) data for an optimized crystal structure of ZrCd2Hg, as listed in Alexandria.

Computed properties:
formation enthalpy at 0 K: 0.0128 eV/atom
DOS at the Fermi energy: 0.65 states/eV/atom

Cell: 6.201 6.201 6.201 Å, 150.45 130.03 59.12°
Element x y z (fractional)
Cd: 0.000 0.000 0.000
Hg: 0.750 0.250 0.500
Cd: 0.500 0.500 0.000
Zr: 0.250 0.750 0.500

=====

No. 4
First-principles (PBE-GGA) data for an optimized crystal structure of Pr5Cd2In5, as listed in Alexandria.

Computed properties:
formation enthalpy at 0 K: -0.3397 eV/atom
DOS at the Fermi energy: 0.71 states/eV/atom

Cell: 4.825 6.775 13.638 Å, 119.90 90.00 110.86°
Element x y z (fractional)
In: 0.000 0.000 0.000
Pr: 0.340 0.680 0.998
Pr: 0.651 0.301 0.268
Cd: 0.939 0.879 0.232
In: 0.299 0.599 0.217
Cd: 0.061 0.121 0.768
In: 0.166 0.332 0.456
In: 0.701 0.401 0.783
Pr: 0.500 0.000 0.500
Pr: 0.660 0.320 0.002
Pr: 0.349 0.699 0.732
In: 0.834 0.668 0.544

=====

No. 5
First-principles (PBE-GGA) data for an optimized crystal structure of Pa3VSi7, as listed in Alexandria.

Computed properties:
formation energy (no corrections): -0.399 eV per atom
DOS at the Fermi energy: 1.00 states/eV/atom

Cell: 3.962 9.585 10.743 Å, 90.00 90.00 101.93°
Last column: magnetic moment on the atom in μB.
Element x y z (fractional)
Si: 0.729 0.458 0.538  0.00
Si: 0.623 0.247 0.856  -0.01
Si: 0.623 0.247 0.644  -0.01
V: 0.051 0.102 0.750  0.96
Pa: 0.890 0.780 0.553  0.00
Si: 0.612 0.225 0.250  0.00
Si: 0.271 0.542 0.462  0.00
Pa: 0.233 0.465 0.750  0.06
Pa: 0.110 0.220 0.053  0.00
Si: 0.499 0.997 0.885  -0.01
Si: 0.499 0.997 0.615  -0.01
Pa: 0.767 0.535 0.250  0.06
Si: 0.271 0.542 0.038  0.00
Si: 0.377 0.753 0.356  -0.01
Si: 0.501 0.003 0.385  -0.01
Pa: 0.110 0.220 0.447  0.00
Si: 0.377 0.753 0.144  -0.01
V: 0.949 0.898 0.250  0.96
Si: 0.729 0.458 0.962  0.00
Pa: 0.890 0.780 0.947  0.00
Si: 0.388 0.775 0.750  0.00
Si: 0.501 0.003 0.115  -0.01

=====

No. 6
First-principles (PBE-GGA) data for an optimized crystal structure of Zr4Hg2H, as listed in Alexandria.

Computed properties:
electronic total energy: -39.0 eV for the cell shown
DOS at the Fermi energy: 0.94 states/eV/atom

Cell: 4.180 4.180 8.489 Å, 104.25 104.25 90.00°
Element x y z (fractional)
Zr: 0.820 0.820 0.641
Hg: 0.360 0.360 0.720
Zr: 0.000 0.500 0.000
Hg: 0.640 0.640 0.280
Zr: 0.180 0.180 0.359
H: 0.000 0.000 0.000
Zr: 0.500 0.000 0.000

=====

No. 7
First-principles (PBE-GGA) data for an optimized crystal structure of LiGa6Ni6, as listed in Alexandria.

Computed properties:
formation enthalpy at 0 K: -0.4064 eV/atom
DOS at the Fermi energy: 0.46 states/eV/atom

Cell: 4.966 6.429 6.429 Å, 78.85 67.28 67.28°
Element x y z (fractional)
Ga: 0.335 0.665 0.665
Ga: 0.000 0.309 0.691
Ni: 0.500 0.246 0.754
Ga: 0.665 0.335 0.335
Ga: 0.331 0.169 0.169
Ni: 0.000 0.500 0.000
Ni: 0.500 0.000 0.500
Li: 0.000 0.000 0.000
Ni: 0.000 0.000 0.500
Ni: 0.500 0.500 0.000
Ni: 0.500 0.754 0.246
Ga: 0.669 0.831 0.831
Ga: 0.000 0.691 0.309

=====

No. 8
First-principles (PBE-GGA) data for an optimized crystal structure of MgHgPbCl6, as listed in Alexandria.

Computed properties:
formation energy (no corrections): -1.172 eV per atom
DOS at the Fermi energy: 0.00 states/eV/atom

Cell: 6.755 6.755 12.532 Å, 90.00 90.00 120.00°
Element x y z (fractional)
Mg: 0.667 0.333 0.250
Cl: 0.368 0.020 0.133
Cl: 0.348 0.368 0.867
Cl: 0.368 0.348 0.367
Cl: 0.980 0.348 0.133
Cl: 0.020 0.368 0.633
Cl: 0.652 0.632 0.133
Cl: 0.652 0.020 0.367
Cl: 0.348 0.980 0.633
Cl: 0.980 0.632 0.367
Pb: 0.000 0.000 0.500
Hg: 0.667 0.333 0.750
Cl: 0.632 0.980 0.867
Pb: 0.000 0.000 0.000
Cl: 0.632 0.652 0.633
Cl: 0.020 0.652 0.867
Mg: 0.333 0.667 0.750
Hg: 0.333 0.667 0.250

=====

No. 9
First-principles (PBE-GGA) data for an optimized crystal structure of Pm2Sm12Dy5, as listed in Alexandria.

Computed properties:
formation enthalpy at 0 K: 0.1284 eV/atom
DOS at the Fermi energy: 1.44 states/eV/atom

Cell: 9.308 12.532 8.705 Å, 132.77 90.00 111.80°
Element x y z (fractional)
Sm: 0.666 0.694 0.932
Sm: 0.821 0.254 0.588
Dy: 0.299 0.598 0.618
Sm: 0.562 0.123 0.785
Sm: 0.087 0.173 0.292
Dy: 0.769 0.539 0.109
Sm: 0.438 0.877 0.215
Sm: 0.027 0.694 0.932
Dy: 0.231 0.461 0.891
Dy: 0.000 0.000 0.500
Sm: 0.913 0.827 0.708
Sm: 0.334 0.306 0.068
Sm: 0.179 0.746 0.412
Sm: 0.567 0.746 0.412
Pm: 0.325 0.000 0.000
Sm: 0.433 0.254 0.588
Dy: 0.701 0.402 0.382
Pm: 0.675 0.000 0.000
Sm: 0.973 0.306 0.068

=====

No. 10
First-principles (PBE-GGA) data for an optimized crystal structure of GePt2O, as listed in Alexandria.

Computed properties:
formation energy (no corrections): 0.010 eV per atom
DOS at the Fermi energy: 0.12 states/eV/atom

Cell: 4.238 4.238 4.238 Å, 60.00 60.00 60.00°
Element x y z (fractional)
Pt: 0.750 0.750 0.750
Ge: 0.500 0.500 0.500
O: 0.000 0.000 0.000
Pt: 0.250 0.250 0.250

=====

No. 11
First-principles (PBE-GGA) data for an optimized crystal structure of NdCd3Hg2, as listed in Alexandria.

Computed properties:
formation enthalpy at 0 K: -0.2336 eV/atom
DOS at the Fermi energy: 0.38 states/eV/atom

Cell: 4.585 6.979 10.420 Å, 70.07 77.29 70.82°
Element x y z (fractional)
Nd: 0.849 0.184 0.119
Cd: 0.613 0.384 0.390
Hg: 0.523 0.811 0.144
Hg: 0.828 0.518 0.827
Cd: 0.942 0.725 0.391
Cd: 0.288 0.042 0.381
Cd: 0.712 0.958 0.619
Nd: 0.151 0.816 0.881
Hg: 0.172 0.482 0.173
Cd: 0.387 0.616 0.610
Hg: 0.477 0.189 0.856
Cd: 0.058 0.275 0.609

=====

No. 12
First-principles (PBE-GGA) data for an optimized crystal structure of ThSi2Ir3, as listed in Alexandria.

Computed properties:
formation energy (no corrections): -0.956 eV per atom
DOS at the Fermi energy: 0.49 states/eV/atom

Cell: 4.021 8.339 9.855 Å, 107.40 90.00 103.95°
Element x y z (fractional)
Ir: 0.778 0.557 0.609
Ir: 0.325 0.651 0.046
Th: 0.000 0.000 0.000
Si: 0.466 0.933 0.228
Ir: 0.675 0.349 0.954
Ir: 0.045 0.089 0.330
Ir: 0.222 0.443 0.391
Th: 0.157 0.314 0.697
Ir: 0.955 0.911 0.670
Ir: 0.500 0.000 0.500
Si: 0.534 0.067 0.772
Ir: 0.376 0.751 0.800
Si: 0.802 0.603 0.872
Th: 0.843 0.686 0.303
Si: 0.637 0.275 0.448
Ir: 0.624 0.249 0.200
Si: 0.363 0.725 0.552
Si: 0.198 0.397 0.128

=====

- Number 5 is which compound?
  Pa3VSi7